ReSCl2F | PBE | relaxed

Structure (POSCAR):
```
ReSCl2F
1.0
5.319 0.000 0.000
0.000 5.319 0.000
0.000 0.000 3.615
Re S Cl F
1 1 2 1
Cartesian
0.000 0.000 0.000
2.659 2.659 0.000
0.000 2.659 1.808
2.659 0.000 1.808
2.659 2.659 1.808
```

Energy above the most stable polymorph in this dataset (meV per atom): 1167.2
Uncorrected formation energy (eV/atom): 1.108
Raw total energy (eV per cell): -16.60


CuAg2Ir | PBE | relaxed

Structure (POSCAR):
```
CuAg2Ir
1.0
1.389 0.802 9.306
-1.389 0.802 9.306
0.000 -1.604 9.306
Cu Ag Ir
1 2 1
Cartesian
0.000 0.000 0.000
0.000 0.000 14.085
0.000 0.000 20.866
0.000 0.000 7.217
```

Energy above the most stable polymorph in this dataset (meV per atom): 0.0
Raw total energy (eV per cell): -17.87
Formation energy from the elements (eV/f.u.): 0.8